1.
Computed, not measured: NbHgPt after structural relaxation at the PBE level of DFT.

Values from the calculation:
Formation energy from the elements ... 0.0349 eV/atom
Energy above the most stable polymorph in this dataset ... 0.000 eV per atom
Magnetization ... 0.14 μB per atom

a = 4.4480 Å, b = 4.4480 Å, c = 4.4480 Å
α = 60.00°, β = 60.00°, γ = 60.00°
Atoms (fractional coordinates):
Pt 0.0000 0.0000 0.0000
Nb 0.7500 0.7500 0.7500
Hg 0.2500 0.2500 0.2500


2.
Computed, not measured: TmNb2P3 after structural relaxation at the PBE level of DFT.

Values from the calculation:
Magnetization ... 0.00 μB per atom

a = 3.7278 Å, b = 3.7278 Å, c = 8.9182 Å
α = 90.00°, β = 90.00°, γ = 120.00°
Atoms (fractional coordinates):
P 0.6667 0.3333 0.6872
P 0.3333 0.6667 0.3128
P 0.0000 0.0000 0.0000
Nb 0.3333 0.6667 0.8541
Nb 0.6667 0.3333 0.1459
Tm 0.0000 0.0000 0.5000


3.
Computed, not measured: TmMgTe2AuS after structural relaxation at the PBE level of DFT.

Values from the calculation:
Magnetization ... 0.00 μB per atom

a = 7.3753 Å, b = 7.3753 Å, c = 10.2657 Å
α = 90.00°, β = 90.00°, γ = 147.83°
Atoms (fractional coordinates):
Te 0.8434 0.1566 0.0630
Te 0.1566 0.8434 0.9370
Te 0.1566 0.8434 0.5630
Te 0.8434 0.1566 0.4370
S 0.4043 0.5957 0.7500
S 0.5957 0.4043 0.2500
Tm 0.5000 0.5000 0.0000
Tm 0.5000 0.5000 0.5000
Au 0.9808 0.0192 0.2500
Au 0.0192 0.9808 0.7500
Mg 0.2179 0.7821 0.2500
Mg 0.7821 0.2179 0.7500


4.
Computed, not measured: Tm2Cu3Ag after structural relaxation at the PBE level of DFT.

Values from the calculation:
Formation energy from the elements ... -0.2358 eV/atom
Magnetization ... 0.00 μB per atom

a = 3.5108 Å, b = 3.5108 Å, c = 8.7894 Å
α = 90.00°, β = 90.00°, γ = 90.00°
Atoms (fractional coordinates):
Cu 0.5000 0.5000 0.6706
Cu 0.0000 0.0000 0.8221
Cu 0.5000 0.5000 0.3364
Tm 0.5000 0.5000 0.9879
Tm 0.0000 0.0000 0.5065
Ag 0.0000 0.0000 0.1765


5.
Computed, not measured: Li2PrSiO5 after structural relaxation at the PBE level of DFT.

Values from the calculation:
Magnetization ... 0.11 μB per atom

a = 6.9678 Å, b = 6.9678 Å, c = 4.6343 Å
α = 90.00°, β = 90.00°, γ = 90.00°
Last column: magnetic moment on the atom in μB.
Atoms (fractional coordinates):
O 0.5000 0.3165 0.2199  0.17
O 0.0000 0.8165 0.7801  0.16
O 0.0000 0.5000 0.4010  0.36
O 0.5000 0.6835 0.2199  0.16
O 0.0000 0.1835 0.7801  0.17
O 0.6835 0.5000 0.7801  0.07
O 0.1835 0.0000 0.2199  0.07
O 0.3165 0.5000 0.7801  0.07
O 0.8165 0.0000 0.2199  0.07
O 0.5000 0.0000 0.5990  0.36
Pr 0.5000 0.0000 0.0707  0.03
Pr 0.0000 0.5000 0.9293  0.03
Li 0.7500 0.2500 0.5000  0.00
Li 0.7500 0.7500 0.5000  0.00
Li 0.2500 0.2500 0.5000  0.00
Li 0.2500 0.7500 0.5000  0.00
Si 0.0000 0.0000 0.0000  -0.01
Si 0.5000 0.5000 0.0000  -0.01


6.
Computed, not measured: Ho2S after structural relaxation at the PBE level of DFT.

Values from the calculation:
Magnetization ... 0.01 μB per atom

a = 6.0931 Å, b = 6.0931 Å, c = 6.0931 Å
α = 60.00°, β = 60.00°, γ = 60.00°
Atoms (fractional coordinates):
Ho 0.1250 0.6250 0.6250
Ho 0.6250 0.6250 0.1250
Ho 0.6250 0.1250 0.6250
Ho 0.6250 0.6250 0.6250
S 0.2500 0.2500 0.2500
S 0.0000 0.0000 0.0000


7.
Computed, not measured: KHoTe2 after structural relaxation at the PBE level of DFT.

Values from the calculation:
Magnetization ... 0.00 μB per atom

a = 7.3576 Å, b = 7.3576 Å, c = 7.3576 Å
α = 106.69°, β = 106.69°, γ = 115.19°
Atoms (fractional coordinates):
Te 0.1789 0.6789 0.8579
Te 0.6789 0.8211 0.5000
Te 0.3211 0.1789 0.5000
Te 0.8211 0.3211 0.1421
K 0.2500 0.2500 0.0000
K 0.7500 0.7500 0.0000
Ho 0.7500 0.2500 0.5000
Ho 0.2500 0.7500 0.5000


8.
Computed, not measured: RbUIr after structural relaxation at the PBE level of DFT.

Values from the calculation:
Energy above the most stable polymorph in this dataset ... 0.000 eV per atom
Magnetization ... 0.94 μB per atom

a = 4.9396 Å, b = 4.9396 Å, c = 4.9396 Å
α = 60.00°, β = 60.00°, γ = 60.00°
Atoms (fractional coordinates):
Ir 0.0000 0.0000 0.0000
Rb 0.7500 0.7500 0.7500
U 0.2500 0.2500 0.2500


9.
Computed, not measured: BaSrCu2 after structural relaxation at the PBE level of DFT.

Values from the calculation:
Energy above the most stable polymorph in this dataset ... 0.003 eV per atom

a = 4.3283 Å, b = 4.3283 Å, c = 15.7668 Å
α = 90.00°, β = 90.00°, γ = 120.00°
Atoms (fractional coordinates):
Cu 0.3333 0.6667 0.5000
Cu 0.6667 0.3333 0.0000
Cu 0.3333 0.6667 0.0000
Cu 0.0000 0.0000 0.5000
Ba 0.0000 0.0000 0.8644
Ba 0.0000 0.0000 0.1356
Sr 0.6667 0.3333 0.3763
Sr 0.6667 0.3333 0.6237


10.
Computed, not measured: CsZnC3N3 after structural relaxation at the PBE level of DFT.

a = 7.7165 Å, b = 7.7165 Å, c = 7.7165 Å
α = 60.00°, β = 60.00°, γ = 60.00°
Atoms (fractional coordinates):
C 0.6992 0.3008 0.6992
C 0.6992 0.6992 0.3008
C 0.3008 0.6992 0.3008
C 0.3008 0.3008 0.6992
C 0.6992 0.3008 0.3008
C 0.3008 0.6992 0.6992
Zn 0.0000 0.0000 0.0000
Zn 0.5000 0.5000 0.5000
N 0.1933 0.8067 0.1933
N 0.1933 0.8067 0.8067
N 0.1933 0.1933 0.8067
N 0.8067 0.1933 0.1933
N 0.8067 0.1933 0.8067
N 0.8067 0.8067 0.1933
Cs 0.7500 0.7500 0.7500
Cs 0.2500 0.2500 0.2500


11.
Computed, not measured: MgCuSbW after structural relaxation at the PBE level of DFT.

Values from the calculation:
Energy above the most stable polymorph in this dataset ... 0.304 eV per atom
Magnetization ... 0.27 μB per atom

a = 4.6248 Å, b = 4.6248 Å, c = 4.6248 Å
α = 60.00°, β = 60.00°, γ = 60.00°
Atoms (fractional coordinates):
Sb 0.0000 0.0000 0.0000
Cu 0.7500 0.7500 0.7500
W 0.5000 0.5000 0.5000
Mg 0.2500 0.2500 0.2500


12.
Computed, not measured: TbHoSi2Au2 after structural relaxation at the PBE level of DFT.

Values from the calculation:
Magnetization ... 0.00 μB per atom

a = 4.3208 Å, b = 4.3208 Å, c = 7.6491 Å
α = 90.00°, β = 90.00°, γ = 120.00°
Atoms (fractional coordinates):
Au 0.3333 0.6667 0.7692
Au 0.6667 0.3333 0.2635
Tb 0.0000 0.0000 0.5006
Si 0.6667 0.3333 0.7254
Si 0.3333 0.6667 0.2232
Ho 0.0000 0.0000 0.0001


What total DFT energy (no corrections) values result from the calculations? In sequence: -16.343 -46.408 -49.097 -24.340 -120.386 -25.356 -33.399 -18.050 -22.723 -108.223 -18.788 -31.502 eV/cell.